First-principles (GGA-PBE) data for an optimized crystal structure of PmEuSb, as listed in the Alexandria database.

Structure (CIF):
```
data_PmEuSb
_chemical_formula_sum 'Pm1 Eu1 Sb1'
_symmetry_space_group_name_H-M 'P 3 m 1'
_symmetry_Int_Tables_number 156
_cell_length_a 5.1425
_cell_length_b 5.1425
_cell_length_c 4.3647
_cell_angle_alpha 90.00
_cell_angle_beta 90.00
_cell_angle_gamma 120.00
loop_
_symmetry_equiv_pos_as_xyz
'x,y,z'
'-y,x-y,z'
'-x+y,-x,z'
'-y,-x,z'
'-x+y,y,z'
'x,x-y,z'
loop_
_atom_site_label
_atom_site_fract_x
_atom_site_fract_y
_atom_site_fract_z
Pm1 0.0000 0.0000 0.0000
Eu1 0.6667 0.3333 0.4570
Sb1 0.3333 0.6667 0.8007
```

Computed properties:
Magnetic moment (μB per atom): 2.46
Raw formation energy (eV/atom): -0.52
E above lowest polymorph (meV per atom): 156

First-principles (GGA-PBE) data for an optimized crystal structure of PmEuZnSb, as listed in the Alexandria database.

Structure (CIF):
```
data_PmEuZnSb
_chemical_formula_sum 'Pm4 Eu4 Zn4 Sb4'
_symmetry_space_group_name_H-M 'F -4 3 m'
_symmetry_Int_Tables_number 216
_symmetry_space_group_name_Hall 'F -4 2 3'
_cell_length_a 7.5885
_cell_length_b 7.5885
_cell_length_c 7.5885
_cell_angle_alpha 90.00
_cell_angle_beta 90.00
_cell_angle_gamma 90.00
loop_
_atom_site_label
_atom_site_fract_x
_atom_site_fract_y
_atom_site_fract_z
Pm1 0.0000 0.0000 0.0000
Eu1 0.0000 0.0000 0.5000
Zn1 0.2500 0.2500 0.7500
Sb1 0.2500 0.2500 0.2500
```

Computed properties:
Magnetic moment (μB per atom): 1.85
Raw formation energy (eV/atom): -0.57

Question: Which value of raw formation energy does entry 1 give?
Answer: -0.52 eV/atom